BaCa7Mg4 | PBE-GGA | optimized geometry

Properties
Total magnetic moment = 0.000 μB per atom
E = -21.07 eV for the cell shown
ΔH_f (0 K) = 0.104 eV/atom
V = 449 Å³/cell

The structure in POSCAR format:
```
BaCa7Mg4
1.0
6.2007 0.0000 0.0000
3.1003 9.4166 0.4751
3.1003 0.7281 7.7198
Ba Ca Mg
1 7 4
Direct
0.0000 0.0000 0.0000 Ba
0.7792 0.8833 0.5582 Ca
0.2208 0.1167 0.4418 Ca
0.0669 0.6028 0.2634 Ca
0.9331 0.3972 0.7366 Ca
0.3037 0.6422 0.7504 Ca
0.5000 0.0000 0.0000 Ca
0.6963 0.3578 0.2496 Ca
0.5487 0.2378 0.6647 Mg
0.4513 0.7622 0.3353 Mg
0.6821 0.6665 0.9693 Mg
0.3179 0.3335 0.0307 Mg
```